The following is a PBE with a Hubbard U calculation of a relaxed La2Be2NiO6 crystal, from the Alexandria database.

Fermi-level density of states: 0.0 states/eV/f.u.
volume: 383 Å³/cell
uncorrected energy: -7.10 eV/atom

The structure in CIF format:
```
data_La2Be2NiO6
_chemical_formula_sum 'La6 Be6 Ni3 O18'
_symmetry_space_group_name_H-M 'R -3 m'
_symmetry_Int_Tables_number 166
_symmetry_space_group_name_Hall '-R 3 2"'
_cell_length_a 5.3192
_cell_length_b 5.3192
_cell_length_c 15.6111
_cell_angle_alpha 90.00
_cell_angle_beta 90.00
_cell_angle_gamma 120.00
loop_
_atom_site_label
_atom_site_type_symbol
_atom_site_fract_x
_atom_site_fract_y
_atom_site_fract_z
La1 La 0.0000 0.0000 0.2195
Be1 Be 0.0000 0.0000 0.4224
Ni1 Ni 0.0000 0.0000 0.0000
O1 O 0.0020 0.5010 0.2452
```